Compound: K2PdO3
Source: OQMD via LeMat-Bulk
Functional: PBE-GGA
Structure: optimized geometry

Results
E_tot in eV/atom: -4.550
Space group: Cmcm, No. 63

Cell lengths 6.0337, 6.0337, 5.8594 Å; angles 90.00, 90.00, 68.00 degrees
Sites, in units of the cell vectors:
1 K 0.3038 0.0314 0.2500
2 K 0.9686 0.6962 0.2500
3 K 0.0314 0.3038 0.7500
4 K 0.6962 0.9686 0.7500
5 O 0.3652 0.3652 0.0000
6 O 0.6348 0.6348 0.0000
7 O 0.8326 0.1674 0.2500
8 O 0.3652 0.3652 0.5000
9 O 0.6348 0.6348 0.5000
10 O 0.1674 0.8326 0.7500
11 Pd 0.5405 0.4595 0.2500
12 Pd 0.4595 0.5405 0.7500